Density functional theory data (PBE) for crystalline Na2ZnReO4 at its relaxed geometry.

- Total energy: -0.2116 Ha/atom

Structure (POSCAR):
```
Na2ZnReO4
1.0
5.207 0.000 0.000
0.000 5.629 0.000
-4.573 0.000 7.451
Na Zn Re O
4 2 2 8
Cartesian
0.000 1.035 0.000 Na
-2.286 4.594 3.725 Na
2.785 1.728 1.908 Na
0.499 3.900 5.633 Na
-1.821 1.773 5.467 Zn
0.465 3.856 1.741 Zn
0.343 0.949 3.637 Re
-1.943 4.680 7.363 Re
-0.113 1.868 2.103 O
-2.400 3.761 5.828 O
-2.275 0.874 7.250 O
0.011 4.755 3.525 O
0.186 1.748 5.417 O
2.473 3.881 1.692 O
2.237 1.172 4.040 O
4.524 4.457 0.315 O
```

Density functional theory data (PBE) for crystalline Na2ZrReO6 at its relaxed geometry.

- Offset from the most stable computed form: 0 meV/atom

Structure (POSCAR):
```
Na2ZrReO6
1.0
5.508 0.000 0.000
0.000 5.563 0.000
-5.480 0.000 7.864
Na Zr Re O
4 2 2 12
Cartesian
-0.008 0.141 1.968 Na
-2.749 2.640 5.900 Na
2.776 2.923 1.964 Na
0.036 5.422 5.896 Na
-2.740 0.000 3.932 Zr
0.000 2.781 0.000 Zr
2.754 0.000 0.000 Re
0.014 2.781 3.932 Re
-4.279 1.091 7.585 O
-1.539 1.690 3.653 O
-3.791 3.994 7.579 O
-1.051 4.351 3.647 O
-2.349 0.084 5.985 O
0.391 2.697 2.053 O
-0.363 2.866 5.811 O
2.377 5.479 1.879 O
1.079 1.212 4.216 O
3.819 1.569 0.284 O
1.566 3.873 4.211 O
4.306 4.472 0.279 O
```

Density functional theory data (PBE) for crystalline Na2ZrReO6 at its relaxed geometry.

- Offset from the most stable computed form: 3 meV/atom

Structure (POSCAR):
```
Na2ZrReO6
1.0
-2.768 2.768 3.995
2.768 -2.768 3.995
2.768 2.768 -3.995
Na Zr Re O
2 1 1 6
Cartesian
2.768 0.000 1.997 Na
0.000 2.768 1.997 Na
0.000 0.000 0.000 Zr
0.000 0.000 3.995 Re
3.798 1.156 0.000 O
0.000 0.000 2.082 O
1.156 1.739 0.000 O
1.612 1.029 3.995 O
0.000 0.000 5.908 O
-1.029 1.612 3.995 O
```

Density functional theory data (PBE) for crystalline NaTbSO at its relaxed geometry.

- Offset from the most stable computed form: 201 meV/atom

Structure (POSCAR):
```
NaTbSO
1.0
5.678 0.000 0.000
0.000 9.875 0.000
0.000 0.000 5.567
Na Tb S O
4 4 4 4
Cartesian
0.446 0.780 0.000 Na
2.393 0.780 2.783 Na
3.285 9.095 0.000 Na
5.232 9.095 2.783 Na
0.010 6.625 0.350 Tb
2.829 6.625 3.134 Tb
2.849 3.250 0.350 Tb
5.668 3.250 3.134 Tb
0.021 6.262 3.148 S
2.818 6.262 0.364 S
2.860 3.613 3.148 S
5.658 3.613 0.364 S
0.199 1.278 3.289 O
2.640 1.278 0.505 O
3.038 8.597 3.289 O
5.479 8.597 0.505 O
```

Density functional theory data (PBE) for crystalline NaTbSO at its relaxed geometry.

- Offset from the most stable computed form: 165 meV/atom

Structure (POSCAR):
```
NaTbSO
1.0
4.288 0.000 0.000
0.000 7.324 0.000
0.000 0.000 6.051
Na Tb S O
2 2 2 2
Cartesian
0.000 1.481 0.000 Na
0.000 5.843 3.026 Na
2.144 2.620 2.585 Tb
2.144 4.704 5.611 Tb
0.000 1.295 3.277 S
0.000 6.029 0.251 S
2.144 2.777 0.463 O
2.144 4.547 3.489 O
```

Density functional theory data (PBE) for crystalline NaTbSO at its relaxed geometry.

- Offset from the most stable computed form: 0 meV/atom

Structure (POSCAR):
```
NaTbSO
1.0
5.560 0.000 0.000
0.000 5.569 0.000
-2.749 0.000 10.107
Na Tb S O
4 4 4 4
Cartesian
-0.008 0.000 0.958 Na
0.031 5.562 9.151 Na
2.780 2.778 0.956 Na
2.819 2.784 9.149 Na
-1.371 1.444 6.162 Tb
1.402 1.446 3.945 Tb
1.409 4.230 6.163 Tb
4.182 4.229 3.945 Tb
-0.018 2.788 1.857 S
0.054 2.785 8.251 S
2.757 0.000 1.856 S
2.829 0.003 8.250 S
0.015 0.057 5.051 O
0.015 2.839 5.055 O
2.796 0.055 5.052 O
2.796 2.842 5.056 O
```

Density functional theory data (PBE) for crystalline NaTbSO at its relaxed geometry.

- Offset from the most stable computed form: 2 meV/atom

Structure (POSCAR):
```
NaTbSO
1.0
6.780 0.000 0.000
0.000 7.300 0.000
-1.536 0.000 6.101
Na Tb S O
4 4 4 4
Cartesian
0.602 1.811 0.007 Na
-0.166 1.839 3.057 Na
5.410 5.460 3.044 Na
4.642 5.489 6.094 Na
2.689 4.553 1.607 Tb
1.921 6.396 4.658 Tb
3.323 0.903 1.443 Tb
2.555 2.746 4.494 Tb
0.179 4.258 5.065 S
0.947 6.692 2.014 S
4.297 0.608 4.087 S
5.065 3.042 1.036 S
1.245 1.126 5.379 O
2.013 2.524 2.329 O
3.231 4.776 3.773 O
3.999 6.174 0.722 O
```

Density functional theory data (PBE) for crystalline NaTbSO at its relaxed geometry.

- Offset from the most stable computed form: 66 meV/atom

Structure (POSCAR):
```
NaTbSO
1.0
3.936 0.000 0.000
0.000 3.936 0.000
0.000 0.000 9.221
Na Tb S O
2 2 2 2
Cartesian
0.984 2.952 0.000 Na
2.952 0.984 0.000 Na
0.984 0.984 3.504 Tb
2.952 2.952 5.717 Tb
0.984 0.984 7.365 S
2.952 2.952 1.856 S
0.984 2.952 4.610 O
2.952 0.984 4.610 O
```

Repeat the second record exactly.
Density functional theory data (PBE) for crystalline Na2ZrReO6 at its relaxed geometry.

- Offset from the most stable computed form: 0 meV/atom

Structure (POSCAR):
```
Na2ZrReO6
1.0
5.508 0.000 0.000
0.000 5.563 0.000
-5.480 0.000 7.864
Na Zr Re O
4 2 2 12
Cartesian
-0.008 0.141 1.968 Na
-2.749 2.640 5.900 Na
2.776 2.923 1.964 Na
0.036 5.422 5.896 Na
-2.740 0.000 3.932 Zr
0.000 2.781 0.000 Zr
2.754 0.000 0.000 Re
0.014 2.781 3.932 Re
-4.279 1.091 7.585 O
-1.539 1.690 3.653 O
-3.791 3.994 7.579 O
-1.051 4.351 3.647 O
-2.349 0.084 5.985 O
0.391 2.697 2.053 O
-0.363 2.866 5.811 O
2.377 5.479 1.879 O
1.079 1.212 4.216 O
3.819 1.569 0.284 O
1.566 3.873 4.211 O
4.306 4.472 0.279 O
```